Computed, not measured: a geometry-optimized AcLaPr structure at the PBE level of DFT.

Calculated values
Crystal system   orthorhombic
Spin magnetization   0.00 μB per formula unit
Final energy   -4.585 eV/atom
Volume   39.48 Å³ per atom

a b c (Å): 3.804 5.974 10.425
angles (deg): 90.00 90.00 90.00
Space group Pmmn (No. 59, origin choice 2)
One atom of each set of equivalent atoms:
1 Ac 0.250 0.250 0.097 (multiplicity 2)
2 La 0.250 0.750 0.563 (multiplicity 2)
3 Pr 0.250 0.250 0.743 (multiplicity 2)

***

Computed, not measured: a geometry-optimized ScRuW3 structure at the PBE level of DFT.

Calculated values
Crystal system   cubic
Spin magnetization   0.00 μB per formula unit
Final energy   -9.396 eV/atom
Volume   21.07 Å³ per atom

a b c (Å): 4.723 4.723 4.723
angles (deg): 90.00 90.00 90.00
Space group Pm-3m (No. 221)
One atom of each set of equivalent atoms:
1 Sc 0.000 0.000 0.000 (multiplicity 1)
2 Ru 0.500 0.500 0.500 (multiplicity 1)
3 W 0.000 0.500 0.500 (multiplicity 3)

***

Computed, not measured: a geometry-optimized TcAg5 structure at the PBE level of DFT.

Calculated values
Crystal system   monoclinic
Spin magnetization   0.76 μB per formula unit
Final energy   -3.758 eV/atom
Volume   17.24 Å³ per atom

a b c (Å): 11.009 2.784 6.992
angles (deg): 90.00 105.12 90.00
Space group Cm (No. 8)
One atom of each set of equivalent atoms:
1 Tc 0.000 0.000 0.000 (multiplicity 2)
2 Ag 0.106 0.500 0.718 (multiplicity 2)
3 Ag 0.164 0.500 0.329 (multiplicity 2)
4 Ag 0.276 0.000 0.046 (multiplicity 2)
5 Ag 0.335 0.000 0.670 (multiplicity 2)
6 Ag 0.440 0.500 0.379 (multiplicity 2)

***

Computed, not measured: a geometry-optimized CsRb2CdIn structure at the PBE level of DFT.

Calculated values
Crystal system   tetragonal
Spin magnetization   0.00 μB per formula unit
Final energy   -1.231 eV/atom
Volume   61.67 Å³ per atom

a b c (Å): 7.295 7.295 5.795
angles (deg): 90.00 90.00 90.00
Space group P4/mmm (No. 123)
One atom of each set of equivalent atoms:
1 Cs 0.000 0.000 0.000 (multiplicity 1)
2 Rb 0.000 0.500 0.500 (multiplicity 2)
3 Cd 0.500 0.500 0.000 (multiplicity 1)
4 In 0.500 0.500 0.500 (multiplicity 1)

***

Computed, not measured: a geometry-optimized NdLuPa4 structure at the PBE level of DFT.

Calculated values
Crystal system   cubic
Spin magnetization   0.00 μB per formula unit
Final energy   -7.637 eV/atom
Volume   27.52 Å³ per atom

a b c (Å): 8.708 8.708 8.708
angles (deg): 90.00 90.00 90.00
Space group F-43m (No. 216)
One atom of each set of equivalent atoms:
1 Nd 0.000 0.000 0.000 (multiplicity 4)
2 Lu 0.250 0.250 0.750 (multiplicity 4)
3 Pa 0.125 0.125 0.375 (multiplicity 16)

***

Computed, not measured: a geometry-optimized Na3Ag4Br8 structure at the PBE level of DFT.

Calculated values
Crystal system   monoclinic
Spin magnetization   0.01 μB per formula unit
Final energy   -2.698 eV/atom
Volume   27.00 Å³ per atom

a b c (Å): 11.526 12.044 8.155
angles (deg): 90.00 134.33 90.00
Space group C2/m (No. 12)
One atom of each set of equivalent atoms:
1 Na 0.000 0.000 0.000 (multiplicity 2)
2 Na 0.250 0.250 0.000 (multiplicity 4)
3 Ag 0.000 0.500 0.000 (multiplicity 2)
4 Ag 0.000 0.500 0.500 (multiplicity 2)
5 Ag 0.250 0.250 0.500 (multiplicity 4)
6 Br 0.000 0.243 0.500 (multiplicity 4)
7 Br 0.000 0.247 0.000 (multiplicity 4)
8 Br 0.227 0.500 0.966 (multiplicity 4)
9 Br 0.234 0.500 0.489 (multiplicity 4)